No. 1
Compound: ErTm2Ni9
Source: the Alexandria database
Functional: PBE-GGA
Structure: optimized geometry

Lattice parameters (Å, degrees): 4.935 4.935 16.086 90.00 90.00 120.00
Positions (direct):
1 Ni 0.167 0.833 0.374
2 Ni 0.167 0.335 0.126
3 Ni 0.665 0.833 0.126
4 Ni 0.167 0.833 0.126
5 Ni 0.335 0.167 0.874
6 Ni 0.833 0.665 0.874
7 Ni 0.667 0.333 0.750
8 Er 0.667 0.333 0.250
9 Tm 0.333 0.667 0.959
10 Ni 0.833 0.167 0.874
11 Ni 0.000 0.000 0.000
12 Tm 0.333 0.667 0.541
13 Tm 0.667 0.333 0.459
14 Ni 0.167 0.335 0.374
15 Ni 0.833 0.167 0.626
16 Ni 0.335 0.167 0.626
17 Ni 0.833 0.665 0.626
18 Ni 0.333 0.667 0.250
19 Ni 0.000 0.000 0.750
20 Ni 0.000 0.000 0.250
21 Tm 0.667 0.333 0.041
22 Er 0.333 0.667 0.750
23 Ni 0.000 0.000 0.500
24 Ni 0.665 0.833 0.374

Total moment ... 0.01 Bohr magnetons per cell
Energy of formation from the pure elements ... -0.444 eV per atom
Calculated volume ... 339.2 Å³/cell


No. 2
Compound: Er6TmNi2
Source: the Alexandria database
Functional: PBE-GGA
Structure: optimized geometry

Lattice parameters (Å, degrees): 8.454 8.454 8.454 105.93 111.37 111.17
Positions (direct):
1 Er 0.100 0.815 0.285
2 Er 0.310 0.320 0.630
3 Ni 0.500 0.880 0.380
4 Ni 0.693 0.693 0.000
5 Tm 0.000 0.500 0.500
6 Er 0.690 0.320 0.010
7 Er 0.209 0.964 0.754
8 Er 0.529 0.815 0.715
9 Er 0.690 0.680 0.370
10 Ni 0.500 0.120 0.620
11 Er 0.900 0.185 0.715
12 Er 0.310 0.680 0.990
13 Tm 0.000 0.000 0.000
14 Er 0.209 0.455 0.246
15 Er 0.791 0.036 0.246
16 Ni 0.307 0.307 0.000
17 Er 0.791 0.545 0.754
18 Er 0.471 0.185 0.285

Total moment ... 0.00 Bohr magnetons per cell
Energy of formation from the pure elements ... -0.143 eV per atom
Calculated volume ... 463.8 Å³/cell


No. 3
Compound: Er2TmNi2
Source: the Alexandria database
Functional: PBE-GGA
Structure: optimized geometry

Lattice parameters (Å, degrees): 3.674 6.764 9.385 90.00 90.00 105.76
Positions (direct):
1 Er 0.103 0.207 0.646
2 Ni 0.762 0.523 0.636
3 Ni 0.238 0.477 0.136
4 Er 0.324 0.647 0.847
5 Tm 0.607 0.214 0.984
6 Er 0.897 0.793 0.146
7 Ni 0.974 0.949 0.872
8 Ni 0.026 0.051 0.372
9 Er 0.676 0.353 0.347
10 Tm 0.393 0.786 0.484

Total moment ... 0.00 Bohr magnetons per cell
Energy of formation from the pure elements ... -0.313 eV per atom
Relative energy among the computed polymorphs ... 55 meV/atom
Calculated volume ... 224.5 Å³/cell


No. 4
Compound: ErTm2Ni9
Source: the Alexandria database
Functional: PBE-GGA
Structure: optimized geometry

Lattice parameters (Å, degrees): 4.934 4.934 8.542 73.21 73.21 60.00
Positions (direct):
1 Ni 0.417 0.417 0.248
2 Ni 0.081 0.583 0.752
3 Er 0.000 0.000 0.000
4 Ni 0.919 0.417 0.248
5 Ni 0.583 0.081 0.752
6 Ni 0.583 0.583 0.752
7 Ni 0.333 0.333 0.000
8 Ni 0.667 0.667 0.000
9 Tm 0.861 0.861 0.418
10 Ni 0.417 0.919 0.248
11 Tm 0.139 0.139 0.582
12 Ni 0.500 0.500 0.500

Total moment ... 1.16 Bohr magnetons per cell
Energy of formation from the pure elements ... -0.445 eV per atom
Calculated volume ... 169.8 Å³/cell